Run 1
The following is a GGA-PBE calculation of an optimized crystal structure of YScBePd, from OQMD.

Geometry as POSCAR:
```
YScBePd
1.0
4.121 -1.863 1.048
0.809 -1.580 4.289
0.357 -4.565 0.763
Be Sc Pd Y
1 1 1 1
Direct
0.750 0.750 0.750
0.000 0.000 0.000
0.500 0.500 0.500
0.250 0.250 0.250
```

Values from the calculation:
Space group   No. 216
Density   5.852 g cm⁻³

Run 2
The following is a GGA-PBE calculation of an optimized crystal structure of YScBePd, from OQMD.

Geometry as POSCAR:
```
YScBePd
1.0
0.000 3.372 3.372
3.372 0.000 3.372
3.372 3.372 0.000
Pd Y Be Sc
1 1 1 1
Direct
0.250 0.250 0.250
0.500 0.500 0.500
0.750 0.750 0.750
0.000 0.000 0.000
```

Values from the calculation:
Space group   No. 216
Density   5.397 g cm⁻³

The data favor run 2; the next most stable structure lies 176 meV per atom above it.

Run 1
The following is a GGA-PBE calculation of an optimized crystal structure of SrBeSiPd, from OQMD.

Geometry as POSCAR:
```
SrBeSiPd
1.0
-1.533 0.544 4.443
-4.085 -1.969 1.351
0.017 -3.679 2.976
Sr Pd Si Be
1 1 1 1
Direct
0.250 0.250 0.250
0.500 0.500 0.500
0.000 0.000 0.000
0.750 0.750 0.750
```

Values from the calculation:
Space group   No. 216
Density   5.123 g cm⁻³

Run 2
The following is a GGA-PBE calculation of an optimized crystal structure of SrBeSiPd, from OQMD.

Geometry as POSCAR:
```
SrBeSiPd
1.0
0.000 3.272 3.272
3.272 0.000 3.272
3.272 3.272 0.000
Sr Si Pd Be
1 1 1 1
Direct
0.500 0.500 0.500
0.250 0.250 0.250
0.000 0.000 0.000
0.750 0.750 0.750
```

Values from the calculation:
Space group   No. 216
Density   5.477 g cm⁻³

The data favor run 2; the next most stable structure lies 128 meV per atom above it.

Run 1
The following is a GGA-PBE calculation of an optimized crystal structure of SmBePd, from OQMD.

Geometry as POSCAR:
```
SmBePd
1.0
0.000 3.278 3.278
3.278 0.000 3.278
3.278 3.278 0.000
Sm Be Pd
1 1 1
Direct
0.000 0.000 0.000
0.250 0.250 0.250
0.750 0.750 0.750
```

Values from the calculation:
Space group   No. 216
Density   6.267 g cm⁻³

Run 2
The following is a GGA-PBE calculation of an optimized crystal structure of SmBePd, from OQMD.

Geometry as POSCAR:
```
SmBePd
1.0
1.493 -3.176 2.853
-2.670 -3.478 1.111
0.940 -4.152 -1.529
Pd Be Sm
1 1 1
Direct
0.250 0.250 0.250
0.500 0.500 0.500
0.000 0.000 0.000
```

Values from the calculation:
Space group   No. 216
Density   6.744 g cm⁻³

The data favor run 2; the next most stable structure lies 546 meV per atom above it.

Run 1
The following is a GGA-PBE calculation of an optimized crystal structure of BeZnSnPd, from OQMD.

Geometry as POSCAR:
```
BeZnSnPd
1.0
-0.973 0.993 4.264
0.218 4.249 1.419
-3.764 2.233 0.980
Sn Zn Be Pd
1 1 1 1
Direct
0.500 0.500 0.500
0.000 0.000 0.000
0.750 0.750 0.750
0.250 0.250 0.250
```

Values from the calculation:
Space group   No. 216
Density   7.798 g cm⁻³

Run 2
The following is a GGA-PBE calculation of an optimized crystal structure of BeZnSnPd, from OQMD.

Geometry as POSCAR:
```
BeZnSnPd
1.0
0.000 3.157 3.157
3.157 0.000 3.157
3.157 3.157 0.000
Pd Be Sn Zn
1 1 1 1
Direct
0.000 0.000 0.000
0.750 0.750 0.750
0.500 0.500 0.500
0.250 0.250 0.250
```

Values from the calculation:
Space group   No. 216
Density   7.906 g cm⁻³

The data favor run 2; the next most stable structure lies 15 meV per atom above it.

Run 1
The following is a GGA-PBE calculation of an optimized crystal structure of SrBePd, from OQMD.

Geometry as POSCAR:
```
SrBePd
1.0
0.000 3.221 3.221
3.221 0.000 3.221
3.221 3.221 0.000
Be Pd Sr
1 1 1
Direct
0.000 0.000 0.000
0.250 0.250 0.250
0.750 0.750 0.750
```

Values from the calculation:
Space group   No. 216
Density   5.046 g cm⁻³

Run 2
The following is a GGA-PBE calculation of an optimized crystal structure of SrBePd, from OQMD.

Geometry as POSCAR:
```
SrBePd
1.0
0.000 3.296 3.296
3.296 0.000 3.296
3.296 3.296 0.000
Sr Be Pd
1 1 1
Direct
0.750 0.750 0.750
0.250 0.250 0.250
0.000 0.000 0.000
```

Values from the calculation:
Space group   No. 216
Density   4.707 g cm⁻³

Run 3
The following is a GGA-PBE calculation of an optimized crystal structure of SrBePd, from OQMD.

Geometry as POSCAR:
```
SrBePd
1.0
2.103 -4.363 -0.105
-2.441 -3.825 -1.697
1.250 -1.985 -4.239
Be Pd Sr
1 1 1
Direct
0.250 0.250 0.250
0.750 0.750 0.750
0.000 0.000 0.000
```

Values from the calculation:
Space group   No. 216
Density   4.194 g cm⁻³

The data favor run 2; the next most stable structure lies 14 meV per atom above it.

Run 1
The following is a GGA-PBE calculation of an optimized crystal structure of TaBePd, from OQMD.

Geometry as POSCAR:
```
TaBePd
1.0
0.000 2.814 2.814
2.814 0.000 2.814
2.814 2.814 0.000
Be Pd Ta
1 1 1
Direct
0.000 0.000 0.000
0.250 0.250 0.250
0.750 0.750 0.750
```

Values from the calculation:
Space group   No. 216
Density   11.040 g cm⁻³

Run 2
The following is a GGA-PBE calculation of an optimized crystal structure of TaBePd, from OQMD.

Geometry as POSCAR:
```
TaBePd
1.0
0.000 2.956 2.956
2.956 0.000 2.956
2.956 2.956 0.000
Ta Pd Be
1 1 1
Direct
0.000 0.000 0.000
0.750 0.750 0.750
0.250 0.250 0.250
```

Values from the calculation:
Space group   No. 216
Density   9.527 g cm⁻³

The data favor run 1; the next most stable structure lies 440 meV per atom above it.

Run 1
The following is a GGA-PBE calculation of an optimized crystal structure of YBeTlPd, from OQMD.

Geometry as POSCAR:
```
YBeTlPd
1.0
0.000 3.362 3.362
3.362 0.000 3.362
3.362 3.362 0.000
Be Y Pd Tl
1 1 1 1
Direct
0.750 0.750 0.750
0.000 0.000 0.000
0.500 0.500 0.500
0.250 0.250 0.250
```

Values from the calculation:
Space group   No. 216
Density   8.934 g cm⁻³

Run 2
The following is a GGA-PBE calculation of an optimized crystal structure of YBeTlPd, from OQMD.

Geometry as POSCAR:
```
YBeTlPd
1.0
0.000 3.388 3.388
3.388 0.000 3.388
3.388 3.388 0.000
Y Tl Be Pd
1 1 1 1
Direct
0.250 0.250 0.250
0.500 0.500 0.500
0.750 0.750 0.750
0.000 0.000 0.000
```

Values from the calculation:
Space group   No. 216
Density   8.723 g cm⁻³

The data favor run 1; the next most stable structure lies 7 meV per atom above it.